Here is a geometry-optimized Cs2Cd6Pd structure from Alexandria. Energies are from PBE.

- energy relative to the elements (eV/atom) = -0.087
- distance to the lowest polymorph of the same formula (meV/atom) = 0
- crystal system = monoclinic

a b c (Å): 14.289 7.455 5.821
angles (deg): 90.00 97.10 90.00
Space group C2/m (No. 12)
Asymmetric unit:
1 Cs 0.215 0.000 0.305 (multiplicity 4)
2 Cd 0.044 0.195 0.761 (multiplicity 8)
3 Cd 0.101 0.500 0.125 (multiplicity 4)
4 Pd 0.000 0.500 0.500 (multiplicity 2)

Here is a geometry-optimized Mn2Al3Ni structure from Alexandria. Energies are from PBE.

- energy relative to the elements (eV/atom) = -0.392
- crystal system = tetragonal

a b c (Å): 2.776 2.776 9.979
angles (deg): 90.00 90.00 90.00
Space group P4/mmm (No. 123)
Asymmetric unit:
1 Mn 0.000 0.000 0.172 (multiplicity 2)
2 Al 0.500 0.500 0.000 (multiplicity 1)
3 Al 0.500 0.500 0.344 (multiplicity 2)
4 Ni 0.000 0.000 0.500 (multiplicity 1)

Here is a geometry-optimized CeMg2Pb2 structure from Alexandria. Energies are from PBE.

- energy relative to the elements (eV/atom) = -0.246
- distance to the lowest polymorph of the same formula (meV/atom) = 0
- crystal system = orthorhombic

a b c (Å): 4.605 25.216 4.633
angles (deg): 90.00 90.00 90.00
Space group Cmcm (No. 63)
Asymmetric unit:
1 Ce 0.000 0.149 0.250 (multiplicity 4)
2 Mg 0.000 0.041 0.750 (multiplicity 4)
3 Mg 0.000 0.456 0.750 (multiplicity 4)
4 Pb 0.000 0.249 0.750 (multiplicity 4)
5 Pb 0.000 0.374 0.250 (multiplicity 4)

Here is a geometry-optimized ReTeRh2 structure from Alexandria. Energies are from PBE.

- crystal system = cubic
- total DFT energy (no corrections) (eV per atom) = -7.243

a b c (Å): 6.359 6.359 6.359
angles (deg): 90.00 90.00 90.00
Space group F-43m (No. 216)
Asymmetric unit:
1 Re 0.000 0.000 0.000 (multiplicity 4)
2 Te 0.250 0.250 0.250 (multiplicity 4)
3 Rh 0.000 0.000 0.500 (multiplicity 4)
4 Rh 0.250 0.250 0.750 (multiplicity 4)

Here is a geometry-optimized NaCaP structure from Alexandria. Energies are from PBE.

- energy relative to the elements (eV/atom) = -0.790
- crystal system = tetragonal

a b c (Å): 4.886 4.886 6.844
angles (deg): 90.00 90.00 90.00
Space group P4/nmm (No. 129, origin choice 2)
Asymmetric unit:
1 Na 0.250 0.750 0.000 (multiplicity 2)
2 Ca 0.250 0.750 0.500 (multiplicity 2)
3 P 0.250 0.250 0.274 (multiplicity 2)

Here is a geometry-optimized Li2TcSbH structure from Alexandria. Energies are from PBE.

- crystal system = tetragonal
- total DFT energy (no corrections) (eV per atom) = -4.472

a b c (Å): 4.018 4.018 3.934
angles (deg): 90.00 90.00 90.00
Space group P4/mmm (No. 123)
Asymmetric unit:
1 Li 0.000 0.500 0.000 (multiplicity 2)
2 Tc 0.000 0.000 0.500 (multiplicity 1)
3 Sb 0.500 0.500 0.500 (multiplicity 1)
4 H 0.000 0.000 0.000 (multiplicity 1)

Here is a geometry-optimized LaBe2Hg structure from Alexandria. Energies are from PBE.

- energy relative to the elements (eV/atom) = 0.093
- crystal system = monoclinic

a b c (Å): 3.790 4.018 5.529
angles (deg): 90.00 109.89 90.00
Space group Pm (No. 6)
Asymmetric unit:
1 La 0.000 0.000 0.000 (multiplicity 1)
2 Be 0.636 0.500 0.274 (multiplicity 1)
3 Be 0.706 0.000 0.417 (multiplicity 1)
4 Hg 0.289 0.500 0.583 (multiplicity 1)

Here is a geometry-optimized Ac2ErZrS6 structure from Alexandria. Energies are from PBE.

- crystal system = monoclinic
- total DFT energy (no corrections) (eV per atom) = -6.496

a b c (Å): 10.161 10.384 7.010
angles (deg): 90.00 133.60 90.00
Space group Cm (No. 8)
Asymmetric unit:
1 Ac 0.000 0.216 0.000 (multiplicity 4)
2 Er 0.423 0.000 0.506 (multiplicity 2)
3 Zr 0.399 0.500 0.472 (multiplicity 2)
4 S 0.081 0.500 0.005 (multiplicity 2)
5 S 0.096 0.000 0.368 (multiplicity 2)
6 S 0.194 0.000 0.976 (multiplicity 2)
7 S 0.242 0.500 0.649 (multiplicity 2)
8 S 0.403 0.254 0.479 (multiplicity 4)